w) Computed, not measured: an optimized crystal structure of Pm3ZnSn3 at the PBE level of DFT.

Output
- space-group type = C2/m, No. 12
- total magnetization (Bohr magnetons per cell) = 0.15

```
Pm3ZnSn3
1.0
-3.215 -0.730 3.134
2.507 -1.140 5.607
-1.197 13.589 5.239
Sn Zn Pm
6 2 6
direct
0.987 0.796 0.231 Sn
0.013 0.204 0.769 Sn
0.852 0.751 0.545 Sn
0.877 0.171 0.076 Sn
0.148 0.249 0.455 Sn
0.123 0.829 0.924 Sn
0.225 0.932 0.618 Zn
0.775 0.068 0.382 Zn
0.519 0.342 0.619 Pm
0.481 0.658 0.381 Pm
0.398 0.282 0.921 Pm
0.265 0.241 0.230 Pm
0.735 0.759 0.770 Pm
0.602 0.718 0.079 Pm
```


x) Computed, not measured: an optimized crystal structure of Pm3ZnSn3 at the PBE level of DFT.

Output
- space-group type = P6_3/m, No. 176
- total magnetization (Bohr magnetons per cell) = 0.00

```
Pm3ZnSn3
1.0
-4.095 0.433 -4.796
0.645 -9.092 -1.371
-6.378 3.353 5.748
Zn Pm Sn
2 6 6
direct
0.250 0.667 0.333 Zn
0.750 0.333 0.667 Zn
0.250 0.631 0.944 Pm
0.750 0.687 0.631 Pm
0.250 0.313 0.369 Pm
0.750 0.944 0.313 Pm
0.250 0.056 0.687 Pm
0.750 0.369 0.056 Pm
0.750 0.644 0.946 Sn
0.250 0.356 0.054 Sn
0.750 0.054 0.698 Sn
0.750 0.302 0.356 Sn
0.250 0.698 0.644 Sn
0.250 0.946 0.302 Sn
```


We find w) to be the most stable, with the next structure 290 meV per atom higher.


w) Computed, not measured: an optimized crystal structure of SrTbPm2 at the PBE level of DFT.

Output
- space-group type = P4/mmm, No. 123
- total magnetization (Bohr magnetons per cell) = 0.00

```
SrTbPm2
1.0
5.269 0.000 0.000
0.000 5.281 0.000
0.000 0.000 5.281
Tb Sr Pm
1 1 2
direct
0.500 0.500 0.500 Tb
0.500 0.000 0.000 Sr
0.000 0.500 0.000 Pm
0.000 0.000 0.500 Pm
```


x) Computed, not measured: an optimized crystal structure of SrTbPm2 at the PBE level of DFT.

Output
- space-group type = R-3m, No. 166
- total magnetization (Bohr magnetons per cell) = 0.00

```
SrTbPm2
1.0
3.660 0.000 0.000
1.830 3.170 0.000
1.830 1.057 13.033
Tb Pm Sr
1 2 1
direct
0.500 0.500 0.500 Tb
0.907 0.907 0.279 Pm
0.093 0.093 0.721 Pm
0.000 0.000 0.000 Sr
```


y) Computed, not measured: an optimized crystal structure of SrTbPm2 at the PBE level of DFT.

Output
- space-group type = R3m, No. 160
- total magnetization (Bohr magnetons per cell) = 0.00

```
SrTbPm2
1.0
-3.292 -1.454 0.957
-0.214 -3.542 1.127
0.633 1.943 12.375
Sr Tb Pm
1 1 2
direct
0.500 0.500 0.499 Sr
0.666 0.666 0.001 Tb
0.077 0.077 0.769 Pm
0.256 0.256 0.231 Pm
```


z) Computed, not measured: an optimized crystal structure of SrTbPm2 at the PBE level of DFT.

Output
- space-group type = P4/mmm, No. 123
- total magnetization (Bohr magnetons per cell) = 0.00

```
SrTbPm2
1.0
-0.435 1.850 3.205
2.609 -2.136 1.586
7.568 7.007 -3.017
Pm Sr Tb
2 1 1
direct
0.000 0.000 0.777 Pm
0.000 0.000 0.223 Pm
0.500 0.500 0.500 Sr
0.500 0.500 0.000 Tb
```


We find z) to be the most stable, with the next structure 5 meV per atom higher.


w) Computed, not measured: an optimized crystal structure of SrTb2Pm at the PBE level of DFT.

Output
- space-group type = R-3m, No. 166
- total magnetization (Bohr magnetons per cell) = 0.00

```
SrTb2Pm
1.0
3.642 0.000 0.000
1.821 3.154 0.000
1.821 1.051 12.869
Tb Pm Sr
2 1 1
direct
0.908 0.908 0.277 Tb
0.092 0.092 0.723 Tb
0.500 0.500 0.500 Pm
0.000 0.000 0.000 Sr
```


x) Computed, not measured: an optimized crystal structure of SrTb2Pm at the PBE level of DFT.

Output
- space-group type = R3m, No. 160
- total magnetization (Bohr magnetons per cell) = 0.00

```
SrTb2Pm
1.0
3.704 0.000 0.000
1.852 3.208 0.000
1.852 1.069 12.229
Tb Sr Pm
2 1 1
direct
0.256 0.256 0.233 Tb
0.078 0.078 0.767 Tb
0.501 0.501 0.498 Sr
0.666 0.666 0.001 Pm
```


y) Computed, not measured: an optimized crystal structure of SrTb2Pm at the PBE level of DFT.

Output
- space-group type = P4/mmm, No. 123
- total magnetization (Bohr magnetons per cell) = 0.00

```
SrTb2Pm
1.0
-1.511 -1.628 -4.747
-3.702 -2.993 2.205
-3.396 3.989 -0.287
Tb Sr Pm
2 1 1
direct
0.000 0.000 0.500 Tb
0.000 0.500 0.000 Tb
0.500 0.500 0.500 Sr
0.500 0.000 0.000 Pm
```


We find x) to be the most stable, with the next structure 73 meV per atom higher.


w) Computed, not measured: an optimized crystal structure of SrPmTe2 at the PBE level of DFT.

Output
- space-group type = R3m, No. 160
- total magnetization (Bohr magnetons per cell) = 0.00

```
SrPmTe2
1.0
-1.919 0.584 -3.987
-4.371 -0.749 -0.504
-3.622 7.593 0.359
Pm Te Sr
1 2 1
direct
0.669 0.669 0.993 Pm
0.255 0.255 0.234 Te
0.079 0.079 0.764 Te
0.497 0.497 0.510 Sr
```


x) Computed, not measured: an optimized crystal structure of SrPmTe2 at the PBE level of DFT.

Output
- space-group type = R-3m, No. 166
- total magnetization (Bohr magnetons per cell) = 0.00

```
SrPmTe2
1.0
4.541 -0.001 -0.003
-2.270 3.933 0.003
-2.263 -1.316 7.649
Te Sr Pm
2 1 1
direct
0.493 0.746 0.239 Te
0.507 0.254 0.761 Te
0.000 0.500 0.500 Sr
0.000 0.000 0.000 Pm
```


y) Computed, not measured: an optimized crystal structure of SrPmTe2 at the PBE level of DFT.

Output
- space-group type = Fm-3m, No. 225
- total magnetization (Bohr magnetons per cell) = 0.58

```
SrPmTe2
1.0
-1.645 2.188 -4.888
-4.824 -1.648 -2.325
-4.368 3.504 -0.172
Te Pm Sr
2 1 1
direct
0.750 0.750 0.750 Te
0.250 0.250 0.250 Te
0.000 0.000 0.000 Pm
0.500 0.500 0.500 Sr
```


z) Computed, not measured: an optimized crystal structure of SrPmTe2 at the PBE level of DFT.

Output
- space-group type = P4/mmm, No. 123
- total magnetization (Bohr magnetons per cell) = 0.00

```
SrPmTe2
1.0
3.945 0.000 0.000
0.000 3.945 0.000
0.000 0.000 7.992
Te Pm Sr
2 1 1
direct
0.000 0.000 0.235 Te
0.000 0.000 0.765 Te
0.500 0.500 0.000 Pm
0.500 0.500 0.500 Sr
```


We find x) to be the most stable, with the next structure 57 meV per atom higher.


w) Computed, not measured: an optimized crystal structure of SrPm6Te8 at the PBE level of DFT.

Output
- space-group type = Fm-3m, No. 225
- total magnetization (Bohr magnetons per cell) = 0.00

```
SrPm6Te8
1.0
-0.922 3.601 8.132
-0.327 -5.274 7.213
6.844 -0.137 5.752
Pm Te Sr
6 8 1
direct
0.000 0.000 0.500 Pm
0.500 0.000 0.500 Pm
0.000 0.500 0.000 Pm
0.500 0.500 0.000 Pm
0.000 0.500 0.500 Pm
0.500 0.000 0.000 Pm
0.750 0.750 0.750 Te
0.260 0.260 0.740 Te
0.260 0.740 0.740 Te
0.250 0.250 0.250 Te
0.740 0.260 0.260 Te
0.740 0.740 0.260 Te
0.260 0.740 0.260 Te
0.740 0.260 0.740 Te
0.000 0.000 0.000 Sr
```


x) Computed, not measured: an optimized crystal structure of SrPm6Te8 at the PBE level of DFT.

Output
- space-group type = R-3, No. 148
- total magnetization (Bohr magnetons per cell) = 1.82

```
SrPm6Te8
1.0
-7.441 3.459 -2.422
-3.677 -4.856 6.008
1.693 6.336 5.495
Te Pm Sr
8 6 1
direct
0.768 0.768 0.768 Te
0.372 0.140 0.719 Te
0.719 0.372 0.140 Te
0.628 0.860 0.281 Te
0.281 0.628 0.860 Te
0.232 0.232 0.232 Te
0.860 0.281 0.628 Te
0.140 0.719 0.372 Te
0.441 0.807 0.597 Pm
0.597 0.441 0.807 Pm
0.193 0.403 0.559 Pm
0.403 0.559 0.193 Pm
0.807 0.597 0.441 Pm
0.559 0.193 0.403 Pm
0.000 0.000 0.000 Sr
```


We find w) to be the most stable, with the next structure 243 meV per atom higher.


w) Computed, not measured: an optimized crystal structure of SrPm2Th at the PBE level of DFT.

Output
- space-group type = P4/mmm, No. 123
- total magnetization (Bohr magnetons per cell) = 0.00

```
SrPm2Th
1.0
3.719 0.000 0.000
0.000 3.719 0.000
0.000 0.000 10.880
Pm Sr Th
2 1 1
direct
0.000 0.000 0.217 Pm
0.000 0.000 0.783 Pm
0.500 0.500 0.500 Sr
0.500 0.500 0.000 Th
```


x) Computed, not measured: an optimized crystal structure of SrPm2Th at the PBE level of DFT.

Output
- space-group type = R-3m, No. 166
- total magnetization (Bohr magnetons per cell) = 0.00

```
SrPm2Th
1.0
3.663 0.000 0.000
1.832 3.172 0.000
1.832 1.057 12.884
Pm Sr Th
2 1 1
direct
0.094 0.094 0.719 Pm
0.906 0.906 0.281 Pm
0.000 0.000 0.000 Sr
0.500 0.500 0.500 Th
```


We find w) to be the most stable, with the next structure 83 meV per atom higher.


w) Computed, not measured: an optimized crystal structure of SrPm2Tl2 at the PBE level of DFT.

Output
- space-group type = Cmmm, No. 65
- total magnetization (Bohr magnetons per cell) = 0.59

```
SrPm2Tl2
1.0
-0.833 1.839 -3.259
1.999 -2.630 -1.995
-8.408 -7.598 -2.139
Tl Sr Pm
2 1 2
direct
0.500 0.401 0.198 Tl
0.500 0.599 0.802 Tl
0.000 0.000 0.000 Sr
0.000 0.819 0.362 Pm
0.000 0.181 0.638 Pm
```


x) Computed, not measured: an optimized crystal structure of SrPm2Tl2 at the PBE level of DFT.

Output
- space-group type = P-1, No. 2
- total magnetization (Bohr magnetons per cell) = 0.00

```
SrPm2Tl2
1.0
6.357 0.436 -0.273
3.584 6.214 0.718
2.805 1.405 8.968
Tl Pm Sr
4 4 2
direct
0.490 0.721 0.995 Tl
0.510 0.279 0.005 Tl
0.007 0.276 0.501 Tl
0.993 0.724 0.499 Tl
0.754 0.002 0.746 Pm
0.534 0.313 0.350 Pm
0.246 0.998 0.254 Pm
0.466 0.687 0.650 Pm
0.053 0.307 0.844 Sr
0.947 0.693 0.156 Sr
```


We find x) to be the most stable, with the next structure 58 meV per atom higher.


w) Computed, not measured: an optimized crystal structure of SrPm2Tl at the PBE level of DFT.

Output
- space-group type = P4/mmm, No. 123
- total magnetization (Bohr magnetons per cell) = 0.00

```
SrPm2Tl
1.0
-0.609 1.024 4.933
0.901 -4.895 1.127
4.985 1.011 0.406
Sr Pm Tl
1 2 1
direct
0.500 0.500 0.500 Sr
0.000 0.500 0.000 Pm
0.000 0.000 0.500 Pm
0.500 0.000 0.000 Tl
```


x) Computed, not measured: an optimized crystal structure of SrPm2Tl at the PBE level of DFT.

Output
- space-group type = R-3m, No. 166
- total magnetization (Bohr magnetons per cell) = 0.00

```
SrPm2Tl
1.0
3.765 0.000 0.000
1.883 3.261 0.000
1.883 1.087 12.256
Sr Pm Tl
1 2 1
direct
0.000 0.000 0.000 Sr
0.900 0.900 0.299 Pm
0.100 0.100 0.701 Pm
0.500 0.500 0.500 Tl
```


y) Computed, not measured: an optimized crystal structure of SrPm2Tl at the PBE level of DFT.

Output
- space-group type = R3m, No. 160
- total magnetization (Bohr magnetons per cell) = 0.93

```
SrPm2Tl
1.0
5.408 0.000 0.000
2.704 4.684 0.000
2.704 1.561 6.070
Pm Sr Tl
2 1 1
direct
0.043 0.043 0.870 Pm
0.278 0.278 0.167 Pm
0.490 0.490 0.529 Sr
0.689 0.689 0.933 Tl
```


We find w) to be the most stable, with the next structure 155 meV per atom higher.


w) Computed, not measured: an optimized crystal structure of Sr2PmTl at the PBE level of DFT.

Output
- space-group type = R-3m, No. 166
- total magnetization (Bohr magnetons per cell) = 0.68

```
Sr2PmTl
1.0
3.871 0.000 0.000
1.936 3.353 0.000
1.936 1.118 12.559
Sr Tl Pm
2 1 1
direct
0.097 0.097 0.708 Sr
0.903 0.903 0.292 Sr
0.500 0.500 0.500 Tl
0.000 0.000 0.000 Pm
```


x) Computed, not measured: an optimized crystal structure of Sr2PmTl at the PBE level of DFT.

Output
- space-group type = P4/mmm, No. 123
- total magnetization (Bohr magnetons per cell) = 0.00

```
Sr2PmTl
1.0
-0.539 -4.953 2.324
5.115 -0.532 0.052
0.178 2.168 4.661
Pm Tl Sr
1 1 2
direct
0.500 0.500 0.500 Pm
0.500 0.000 0.000 Tl
0.000 0.500 0.000 Sr
0.000 0.000 0.500 Sr
```


y) Computed, not measured: an optimized crystal structure of Sr2PmTl at the PBE level of DFT.

Output
- space-group type = P4/mmm, No. 123
- total magnetization (Bohr magnetons per cell) = 0.00

```
Sr2PmTl
1.0
-1.401 0.377 3.538
3.308 -1.262 1.444
3.599 9.865 0.375
Tl Sr Pm
1 2 1
direct
0.500 0.500 0.000 Tl
0.000 0.000 0.786 Sr
0.000 0.000 0.214 Sr
0.500 0.500 0.500 Pm
```


We find y) to be the most stable, with the next structure 8 meV per atom higher.


w) Computed, not measured: an optimized crystal structure of SrPmTm2 at the PBE level of DFT.

Output
- space-group type = R3m, No. 160
- total magnetization (Bohr magnetons per cell) = 0.00

```
SrPmTm2
1.0
-3.057 -0.538 1.951
-0.211 -2.817 2.336
3.307 5.858 10.242
Tm Pm Sr
2 1 1
direct
0.078 0.078 0.767 Tm
0.256 0.256 0.233 Tm
0.666 0.666 0.001 Pm
0.500 0.500 0.499 Sr
```


x) Computed, not measured: an optimized crystal structure of SrPmTm2 at the PBE level of DFT.

Output
- space-group type = R-3m, No. 166
- total magnetization (Bohr magnetons per cell) = 0.00

```
SrPmTm2
1.0
3.605 0.000 0.000
1.803 3.122 0.000
1.803 1.041 12.725
Tm Pm Sr
2 1 1
direct
0.907 0.907 0.278 Tm
0.093 0.093 0.722 Tm
0.500 0.500 0.500 Pm
0.000 0.000 0.000 Sr
```


We find w) to be the most stable, with the next structure 105 meV per atom higher.